# 1
Density functional theory data (PBE) for crystalline KWI3 at its relaxed geometry.

Output
Fermi-level density of states: 4.25 states/eV per atom
mass density: 3.9 g cm⁻³
distance to the lowest polymorph of the same formula: 1252.3 meV per atom
symmetry: No. 221

abc: 6.3614 6.3614 6.3614
angles: 90.00 90.00 90.00
With the nearest neighbours (Å) after each atom.
Element x y z (fractional)
I 0.0000 0.5000 0.0000  2 K 3.18
I 0.0000 0.0000 0.5000  2 K 3.18
I 0.5000 0.0000 0.0000  2 K 3.18
K 0.0000 0.0000 0.0000  6 I 3.18
W 0.5000 0.5000 0.5000  12 I 4.50

# 2
Density functional theory data (PBE) for crystalline KW2I at its relaxed geometry.

Output
Fermi-level density of states: 1.15 states/eV per atom
mass density: 10.8 g cm⁻³
distance to the lowest polymorph of the same formula: 932.2 meV per atom
symmetry: No. 225

abc: 4.8755 4.8755 4.8755
angles: 60.00 60.00 60.00
With the nearest neighbours (Å) after each atom.
Element x y z (fractional)
I 0.5000 0.5000 0.5000  8 W 2.99
K 0.0000 0.0000 0.0000  8 W 2.99
W 0.2500 0.2500 0.2500  4 K 2.99, 4 I 2.99
W 0.7500 0.7500 0.7500  4 K 2.99, 4 I 2.99

# 3
Density functional theory data (PBE) for crystalline K2WI at its relaxed geometry.

Output
Fermi-level density of states: 0.84 states/eV per atom
mass density: 3.1 g cm⁻³
distance to the lowest polymorph of the same formula: 213.3 meV per atom
symmetry: No. 122

abc: 12.6655 12.6655 9.3215
angles: 47.21 47.21 90.00
With the nearest neighbours (Å) after each atom.
Element x y z (fractional)
I 0.5000 0.5000 0.0000  2 W 2.59
I 0.2500 0.7500 0.5000  2 W 2.59
K 0.4675 0.1250 0.2500  2 I 3.44
K 0.2825 0.6250 0.2500  2 I 3.44
K 0.3750 0.5325 0.7500  2 I 3.44
K 0.8750 0.7175 0.7500  2 I 3.44
W 0.0000 0.0000 0.0000  2 I 2.59
W 0.7500 0.2500 0.5000  2 I 2.59

# 4
Density functional theory data (PBE) for crystalline KWI3 at its relaxed geometry.

Output
Fermi-level density of states: 0.16 states/eV per atom
mass density: 5.1 g cm⁻³
distance to the lowest polymorph of the same formula: 0.0 meV per atom
symmetry: No. 221

abc: 5.8131 5.8131 5.8131
angles: 90.00 90.00 90.00
With the nearest neighbours (Å) after each atom.
Element x y z (fractional)
I 0.0000 0.5000 0.0000  2 W 2.91
I 0.0000 0.0000 0.5000  2 W 2.91
I 0.5000 0.0000 0.0000  2 W 2.91
K 0.5000 0.5000 0.5000  12 I 4.11
W 0.0000 0.0000 0.0000  6 I 2.91

# 5
Density functional theory data (PBE) for crystalline KZrWI2 at its relaxed geometry.

Output
total energy: -15.35 eV for the cell shown
Fermi-level density of states: 1.48 states/eV per atom
mass density: 4.3 g cm⁻³
symmetry: No. 123

abc: 6.0744 6.0079 6.0744
angles: 90.00 90.00 90.00
With the nearest neighbours (Å) after each atom.
Element x y z (fractional)
I 0.0000 0.0000 0.5000  2 K 3.04
I 0.5000 0.0000 0.0000  2 K 3.04
K 0.0000 0.0000 0.0000  2 Zr 3.00, 4 I 3.04
Zr 0.0000 0.5000 0.0000  2 K 3.00
W 0.5000 0.5000 0.5000  8 I 4.27, 4 Zr 4.30

# 6
Density functional theory data (PBE) for crystalline KY3I at its relaxed geometry.

Output
Fermi-level density of states: 1.88 states/eV per atom
mass density: 3.6 g cm⁻³
distance to the lowest polymorph of the same formula: 0.0 meV per atom
symmetry: No. 221

abc: 5.8413 5.8413 5.8413
angles: 90.00 90.00 90.00
With the nearest neighbours (Å) after each atom.
Element x y z (fractional)
I 0.0000 0.0000 0.0000  6 Y 2.92
Y 0.0000 0.5000 0.0000  2 I 2.92
Y 0.0000 0.0000 0.5000  2 I 2.92
Y 0.5000 0.0000 0.0000  2 I 2.92
K 0.5000 0.5000 0.5000  12 Y 4.13

# 7
Density functional theory data (PBE) for crystalline K2YI5 at its relaxed geometry.

Output
Fermi-level density of states: 0.00 states/eV per atom
mass density: 2.7 g cm⁻³
distance to the lowest polymorph of the same formula: 64.0 meV per atom
symmetry: No. 107

abc: 8.8735 8.8720 8.9368
angles: 119.79 119.82 89.98
With the nearest neighbours (Å) after each atom.
Element x y z (fractional)
K 0.1722 0.6719 0.3436  4 I 3.53-3.54
K 0.6719 0.1718 0.3436  4 I 3.53-3.54
Y 0.9900 0.9901 0.9802  5 I 2.87-3.01
I 0.8116 0.2782 0.0897  1 Y 3.01
I 0.2779 0.2778 0.0893  1 Y 3.01
I 0.8115 0.8114 0.0895  1 Y 3.01
I 0.2779 0.8113 0.0891  1 Y 3.01
I 0.7641 0.7646 0.5291  1 Y 2.87

# 8
Density functional theory data (PBE) for crystalline KYI4 at its relaxed geometry.

Output
Fermi-level density of states: 0.00 states/eV per atom
mass density: 3.5 g cm⁻³
distance to the lowest polymorph of the same formula: 11.4 meV per atom
symmetry: No. 15

abc: 7.5856 9.1520 10.2929
angles: 112.92 107.58 98.60
With the nearest neighbours (Å) after each atom.
Element x y z (fractional)
K 0.4225 0.6725 0.3450  4 I 3.47-3.62
K 0.5775 0.3275 0.6550  4 I 3.47-3.62
Y 0.8250 0.0750 0.1500  6 I 2.96-3.15
Y 0.1750 0.9250 0.8500  6 I 2.96-3.15
I 0.2724 0.9715 0.6079  1 Y 2.96
I 0.0808 0.8464 0.0981  2 Y 3.07-3.15
I 0.1645 0.3636 0.3921  1 Y 2.96
I 0.4827 0.7483 0.9019  2 Y 3.07-3.15
I 0.7276 0.0285 0.3921  1 Y 2.96
I 0.8355 0.6364 0.6079  1 Y 2.96
I 0.9192 0.1536 0.9019  2 Y 3.07-3.15
I 0.5173 0.2517 0.0981  2 Y 3.07-3.15